No. 1
LiHf2Os | PBEsol | relaxed

abc: 6.462 6.462 6.462
angles: 90.00 90.00 90.00
Space group Fm-3m (No. 225)
Unique sites:
Li (0.000, 0.000, 0.000) (multiplicity 4)
Hf (0.250, 0.250, 0.250) (multiplicity 8)
Os (0.000, 0.000, 0.500) (multiplicity 4)

Properties
**Crystal system**: cubic
**Energy relative to the elements**: -0.38 eV per atom

=====

No. 2
LiHf2Os2 | PBEsol | relaxed

abc: 4.361 4.361 10.878
angles: 90.00 90.00 90.00
Space group I4/mmm (No. 139)
Unique sites:
Li (0.000, 0.000, 0.000) (multiplicity 2)
Hf (0.000, 0.500, 0.250) (multiplicity 4)
Os (0.000, 0.000, 0.387) (multiplicity 4)

Properties
**Crystal system**: tetragonal
**Energy relative to the elements**: 0.20 eV per atom

=====

No. 3
LiHfP2 | PBEsol | relaxed

abc: 6.657 6.657 5.784
angles: 90.00 90.00 90.00
Space group I-42d (No. 122)
Unique sites:
Li (0.000, 0.000, 0.000) (multiplicity 4)
Hf (0.000, 0.000, 0.500) (multiplicity 4)
P (0.232, 0.750, 0.125) (multiplicity 8)

Properties
**Crystal system**: tetragonal
**Energy relative to the elements**: -0.53 eV per atom

=====

No. 4
LiHf3P | PBEsol | relaxed

abc: 4.495 4.495 4.495
angles: 90.00 90.00 90.00
Space group Pm-3m (No. 221)
Unique sites:
Li (0.000, 0.000, 0.000) (multiplicity 1)
Hf (0.000, 0.000, 0.500) (multiplicity 3)
P (0.500, 0.500, 0.500) (multiplicity 1)

Properties
**Crystal system**: cubic
**Energy relative to the elements**: 0.66 eV per atom

=====

No. 5
Li2HfPd2 | PBEsol | relaxed

abc: 7.086 7.086 2.861
angles: 90.00 90.00 90.00
Space group P4/mbm (No. 127)
Unique sites:
Li (0.109, 0.391, 0.000) (multiplicity 4)
Hf (0.000, 0.000, 0.000) (multiplicity 2)
Pd (0.191, 0.691, 0.500) (multiplicity 4)

Properties
**Crystal system**: tetragonal
**Distance to the lowest polymorph of the same formula**: 0.129 eV/f.u.
**Energy relative to the elements**: -0.39 eV per atom

=====

No. 6
LiHf2Pd2 | PBEsol | relaxed

abc: 7.583 7.583 3.165
angles: 90.00 90.00 90.00
Space group P4/mbm (No. 127)
Unique sites:
Li (0.000, 0.000, 0.000) (multiplicity 2)
Hf (0.163, 0.337, 0.500) (multiplicity 4)
Pd (0.134, 0.634, 0.000) (multiplicity 4)

Properties
**Crystal system**: tetragonal
**Energy relative to the elements**: -0.46 eV per atom

=====

No. 7
Li2HfPd2 | PBEsol | relaxed

abc: 3.415 3.415 13.548
angles: 90.00 90.00 90.00
Space group I4/mmm (No. 139)
Unique sites:
Li (0.000, 0.500, 0.250) (multiplicity 4)
Hf (0.000, 0.000, 0.000) (multiplicity 2)
Pd (0.000, 0.000, 0.400) (multiplicity 4)

Properties
**Crystal system**: tetragonal
**Distance to the lowest polymorph of the same formula**: 0.000 eV/f.u.
**Energy relative to the elements**: -0.41 eV per atom

=====

No. 8
LiHfTa2Pd | PBEsol | relaxed

abc: 4.796 4.796 4.524
angles: 90.00 90.00 90.00
Space group P4/mmm (No. 123)
Unique sites:
Li (0.000, 0.000, 0.000) (multiplicity 1)
Hf (0.000, 0.000, 0.500) (multiplicity 1)
Ta (0.000, 0.500, 0.500) (multiplicity 2)
Pd (0.500, 0.500, 0.000) (multiplicity 1)

Properties
**Crystal system**: tetragonal
**Energy relative to the elements**: 1.77 eV per atom

=====

No. 9
Li2HfPt2 | PBEsol | relaxed

abc: 7.048 7.048 2.844
angles: 90.00 90.00 90.00
Space group P4/mbm (No. 127)
Unique sites:
Li (0.106, 0.394, 0.000) (multiplicity 4)
Hf (0.000, 0.000, 0.000) (multiplicity 2)
Pt (0.193, 0.693, 0.500) (multiplicity 4)

Properties
**Crystal system**: tetragonal
**Energy relative to the elements**: -0.63 eV per atom

=====

No. 10
LiHf2Pt | PBEsol | relaxed

abc: 7.529 7.529 5.634
angles: 90.00 90.00 90.00
Space group I-42d (No. 122)
Unique sites:
Li (0.000, 0.000, 0.000) (multiplicity 4)
Hf (0.212, 0.250, 0.625) (multiplicity 8)
Pt (0.000, 0.000, 0.500) (multiplicity 4)

Properties
**Crystal system**: tetragonal
**Energy relative to the elements**: -0.04 eV per atom

=====

No. 11
LiHf2Re | PBEsol | relaxed

abc: 6.494 6.494 6.494
angles: 90.00 90.00 90.00
Space group Fm-3m (No. 225)
Unique sites:
Li (0.000, 0.000, 0.000) (multiplicity 4)
Hf (0.250, 0.250, 0.250) (multiplicity 8)
Re (0.000, 0.000, 0.500) (multiplicity 4)

Properties
**Crystal system**: cubic
**Energy relative to the elements**: -0.19 eV per atom

=====

No. 12
LiHfRh3 | PBEsol | relaxed

abc: 4.727 4.727 4.727
angles: 90.00 90.00 90.00
Space group Pm-3m (No. 221)
Unique sites:
Li (0.000, 0.000, 0.000) (multiplicity 1)
Hf (0.500, 0.500, 0.500) (multiplicity 1)
Rh (0.000, 0.500, 0.500) (multiplicity 3)

Properties
**Crystal system**: cubic
**Energy relative to the elements**: 0.79 eV per atom

=====

No. 13
LiHfRh2 | PBEsol | relaxed

abc: 6.143 6.143 6.143
angles: 90.00 90.00 90.00
Space group Fm-3m (No. 225)
Unique sites:
Li (0.000, 0.000, 0.000) (multiplicity 4)
Hf (0.000, 0.000, 0.500) (multiplicity 4)
Rh (0.250, 0.250, 0.250) (multiplicity 8)

Properties
**Crystal system**: cubic
**Energy relative to the elements**: -0.68 eV per atom

=====

No. 14
Li3HfRu | PBEsol | relaxed

abc: 4.523 4.523 4.523
angles: 90.00 90.00 90.00
Space group Pm-3m (No. 221)
Unique sites:
Li (0.000, 0.000, 0.500) (multiplicity 3)
Hf (0.000, 0.000, 0.000) (multiplicity 1)
Ru (0.500, 0.500, 0.500) (multiplicity 1)

Properties
**Crystal system**: cubic
**Energy relative to the elements**: 2.08 eV per atom

=====

No. 15
Li2HfS | PBEsol | relaxed

abc: 7.445 7.445 4.930
angles: 90.00 90.00 90.00
Space group I-42d (No. 122)
Unique sites:
Li (0.178, 0.250, 0.125) (multiplicity 8)
Hf (0.000, 0.000, 0.500) (multiplicity 4)
S (0.000, 0.000, 0.000) (multiplicity 4)

Properties
**Crystal system**: tetragonal
**E_form (uncorrected)**: -0.35 eV per atom

=====

No. 16
LiHfSe2S | PBEsol | relaxed

abc: 4.124 4.124 5.448
angles: 90.00 90.00 90.00
Space group P4/mmm (No. 123)
Unique sites:
Li (0.000, 0.000, 0.000) (multiplicity 1)
Hf (0.000, 0.000, 0.500) (multiplicity 1)
Se (0.000, 0.500, 0.000) (multiplicity 2)
S (0.500, 0.500, 0.500) (multiplicity 1)

Properties
**Crystal system**: tetragonal
**E_form (uncorrected)**: 0.14 eV per atom

=====

No. 17
LiHf2SnS | PBEsol | relaxed

abc: 4.814 4.814 4.170
angles: 90.00 90.00 90.00
Space group P4/mmm (No. 123)
Unique sites:
Li (0.000, 0.000, 0.000) (multiplicity 1)
Hf (0.000, 0.500, 0.000) (multiplicity 2)
Sn (0.000, 0.000, 0.500) (multiplicity 1)
S (0.500, 0.500, 0.500) (multiplicity 1)

Properties
**Crystal system**: tetragonal
**E_form (uncorrected)**: 0.49 eV per atom

=====

No. 18
Li2HfSb | PBEsol | relaxed

abc: 4.006 4.006 21.307
angles: 90.00 90.00 90.00
Space group I-42d (No. 122)
Unique sites:
Li (0.242, 0.250, 0.125) (multiplicity 8)
Hf (0.000, 0.000, 0.500) (multiplicity 4)
Sb (0.000, 0.000, 0.000) (multiplicity 4)

Properties
**Crystal system**: tetragonal
**E_form (uncorrected)**: -0.06 eV per atom

=====

No. 19
LiHfSb2Te | PBEsol | relaxed

abc: 5.481 5.481 5.494
angles: 90.00 90.00 90.00
Space group P4/mmm (No. 123)
Unique sites:
Li (0.000, 0.000, 0.000) (multiplicity 1)
Hf (0.500, 0.500, 0.500) (multiplicity 1)
Sb (0.000, 0.500, 0.500) (multiplicity 2)
Te (0.500, 0.500, 0.000) (multiplicity 1)

Properties
**Crystal system**: tetragonal
**E_form (uncorrected)**: -0.01 eV per atom

=====

No. 20
LiHfSc3 | PBEsol | relaxed

abc: 5.231 5.231 5.231
angles: 90.00 90.00 90.00
Space group Pm-3m (No. 221)
Unique sites:
Li (0.000, 0.000, 0.000) (multiplicity 1)
Hf (0.500, 0.500, 0.500) (multiplicity 1)
Sc (0.000, 0.500, 0.500) (multiplicity 3)

Properties
**Crystal system**: cubic
**Energy relative to the elements**: 0.76 eV per atom

=====

No. 21
LiHf2Sc | PBEsol | relaxed

abc: 6.830 6.830 6.830
angles: 90.00 90.00 90.00
Space group Fm-3m (No. 225)
Unique sites:
Li (0.000, 0.000, 0.000) (multiplicity 4)
Hf (0.250, 0.250, 0.250) (multiplicity 8)
Sc (0.000, 0.000, 0.500) (multiplicity 4)

Properties
**Crystal system**: cubic
**Energy relative to the elements**: 0.40 eV per atom

=====

No. 22
LiHfSi2Se | PBEsol | relaxed

abc: 4.375 4.375 4.450
angles: 90.00 90.00 90.00
Space group P4/mmm (No. 123)
Unique sites:
Li (0.000, 0.000, 0.000) (multiplicity 1)
Hf (0.500, 0.500, 0.500) (multiplicity 1)
Si (0.000, 0.500, 0.000) (multiplicity 2)
Se (0.000, 0.000, 0.500) (multiplicity 1)

Properties
**Crystal system**: tetragonal
**E_form (uncorrected)**: 0.44 eV per atom

=====

No. 23
LiHf2Si | PBEsol | relaxed

abc: 7.268 7.268 5.394
angles: 90.00 90.00 90.00
Space group I-42d (No. 122)
Unique sites:
Li (0.000, 0.000, 0.000) (multiplicity 4)
Hf (0.248, 0.750, 0.625) (multiplicity 8)
Si (0.000, 0.000, 0.500) (multiplicity 4)

Properties
**Crystal system**: tetragonal
**E_form (uncorrected)**: 0.17 eV per atom

=====

No. 24
LiHfSi3 | PBEsol | relaxed

abc: 5.007 5.007 5.007
angles: 90.00 90.00 90.00
Space group Pm-3m (No. 221)
Unique sites:
Li (0.000, 0.000, 0.000) (multiplicity 1)
Hf (0.500, 0.500, 0.500) (multiplicity 1)
Si (0.000, 0.500, 0.500) (multiplicity 3)

Properties
**Crystal system**: cubic
**E_form (uncorrected)**: 0.54 eV per atom

=====

No. 25
LiHfSn3 | PBEsol | relaxed

abc: 4.832 4.832 4.832
angles: 90.00 90.00 90.00
Space group Pm-3m (No. 221)
Unique sites:
Li (0.000, 0.000, 0.000) (multiplicity 1)
Hf (0.500, 0.500, 0.500) (multiplicity 1)
Sn (0.000, 0.000, 0.500) (multiplicity 3)

Properties
**Crystal system**: cubic
**Energy relative to the elements**: 0.40 eV per atom

=====

No. 26
Li2HfTaW | PBEsol | relaxed

abc: 4.325 4.325 4.771
angles: 90.00 90.00 90.00
Space group P4/mmm (No. 123)
Unique sites:
Li (0.000, 0.500, 0.000) (multiplicity 2)
Hf (0.000, 0.000, 0.000) (multiplicity 1)
Ta (0.500, 0.500, 0.500) (multiplicity 1)
W (0.000, 0.000, 0.500) (multiplicity 1)

Properties
**Crystal system**: tetragonal
**Energy relative to the elements**: 1.79 eV per atom

=====

No. 27
LiHf2Tc | PBEsol | relaxed

abc: 7.094 7.094 5.667
angles: 90.00 90.00 90.00
Space group I-42d (No. 122)
Unique sites:
Li (0.000, 0.000, 0.000) (multiplicity 4)
Hf (0.245, 0.750, 0.625) (multiplicity 8)
Tc (0.000, 0.000, 0.500) (multiplicity 4)

Properties
**Crystal system**: tetragonal
**Distance to the lowest polymorph of the same formula**: 2.464 eV/f.u.
**Energy relative to the elements**: 0.42 eV per atom